K2ScCrF6 | GGA+U | relaxed

abc: 6.222 6.221 8.635
angles: 90.00 90.00 90.00
Site moments in Bohr magnetons follow the coordinates.
Atoms (fractional coordinates):
K1 0.500 0.750 0.250  0.00
K2 0.000 0.250 0.750  0.00
K3 0.500 0.750 0.750  0.00
K4 0.000 0.250 0.250  0.00
Sc1 0.500 0.250 0.500  0.07
Sc2 0.000 0.750 0.000  0.07
Cr1 0.000 0.750 0.500  4.60
Cr2 0.500 0.250 0.000  4.60
F1 0.500 0.250 0.264  0.00
F2 0.500 0.250 0.736  0.00
F3 0.000 0.750 0.236  0.00
F4 0.000 0.750 0.764  0.00
F5 0.269 0.019 0.500  0.01
F6 0.731 0.019 0.500  0.01
F7 0.269 0.481 0.500  0.01
F8 0.731 0.481 0.500  0.01
F9 0.769 0.519 0.000  0.01
F10 0.231 0.519 0.000  0.01
F11 0.231 0.981 0.000  0.01
F12 0.769 0.981 0.000  0.01

Calculated values
total magnetization = 5.0 μB per formula unit
calculated total energy = -5.71 eV/atom